This record from Alexandria describes a relaxed La8Er3Th crystal. The functional is PBE-GGA.

```
La8Er3Th
1.0
-3.166 4.481 7.445
3.166 -4.481 7.445
3.166 4.481 -7.445
La Er Th
8 3 1
direct
0.136 0.630 0.202 La
0.230 0.277 0.703 La
0.426 0.723 0.953 La
0.428 0.934 0.798 La
0.572 0.370 0.506 La
0.574 0.527 0.297 La
0.770 0.473 0.047 La
0.864 0.066 0.494 La
0.000 0.500 0.500 Er
0.114 0.114 0.000 Er
0.886 0.886 0.000 Er
0.500 0.000 0.500 Th
```

Symmetry ... I222, No. 23
Energy ... -4.757 eV/atom
Energy relative to the elements ... 287.4 meV per atom
ρ ... 7.3 g/cm3